# SmTh2Sc3

A relaxed structure of SmTh2Sc3 (PBE, Alexandria).

Values from the calculation:
- ΔH_f (0 K) (eV/atom) = 0.023
- spin magnetization (μB/f.u.) = 0.000
- space-group type = No. 123

a = 3.4994 Å, b = 3.4994 Å, c = 13.9841 Å
α = 90.00°, β = 90.00°, γ = 90.00°
With the nearest neighbours (Å) after each atom.
Sites, in units of the cell vectors:
Sm1 0.0000 0.0000 0.0000  8 Sc 3.45, 4 Sm 3.50
Th1 0.0000 0.0000 0.3342  8 Sc 3.36-3.39, 4 Th 3.50
Th2 0.0000 0.0000 0.6658  8 Sc 3.36-3.39, 4 Th 3.50
Sc1 0.5000 0.5000 0.1715  4 Th 3.36, 4 Sm 3.45, 4 Sc 3.50
Sc2 0.5000 0.5000 0.5000  8 Th 3.39, 4 Sc 3.50
Sc3 0.5000 0.5000 0.8285  4 Th 3.36, 4 Sm 3.45, 4 Sc 3.50

=====

# SmTh7Sc2

A relaxed structure of SmTh7Sc2 (PBE, Alexandria).

Values from the calculation:
- ΔH_f (0 K) (eV/atom) = 0.061
- spin magnetization (μB/f.u.) = 0.000
- space-group type = No. 12

a = 9.3245 Å, b = 9.3245 Å, c = 7.0400 Å
α = 101.07°, β = 101.07°, γ = 30.98°
With the nearest neighbours (Å) after each atom.
Sites, in units of the cell vectors:
Sm1 0.0000 0.0000 0.0000  12 Th 3.52-3.58
Th1 0.0000 0.0000 0.5000  2 Sc 3.50, 2 Sm 3.52, 8 Th 3.53-3.55
Th2 0.2018 0.2018 0.1038  7 Th 3.47-3.54, 4 Sc 3.49-3.55, 1 Sm 3.55
Th3 0.3952 0.3952 0.6917  3 Sc 3.44-3.46, 7 Th 3.48-3.62, 2 Sm 3.58
Th4 0.3990 0.3990 0.1995  8 Th 3.47-3.62, 2 Sc 3.51, 2 Sm 3.53
Th5 0.6010 0.6010 0.8005  8 Th 3.47-3.62, 2 Sc 3.51, 2 Sm 3.53
Th6 0.6048 0.6048 0.3083  3 Sc 3.44-3.46, 7 Th 3.48-3.62, 2 Sm 3.58
Th7 0.7982 0.7982 0.8962  7 Th 3.47-3.54, 4 Sc 3.49-3.55, 1 Sm 3.55
Sc1 0.1987 0.1987 0.5976  10 Th 3.44-3.55, 2 Sc 3.54
Sc2 0.8013 0.8013 0.4024  10 Th 3.44-3.55, 2 Sc 3.54

=====

# SmTh3Sc6

A relaxed structure of SmTh3Sc6 (PBE, Alexandria).

Values from the calculation:
- ΔH_f (0 K) (eV/atom) = 0.196
- spin magnetization (μB/f.u.) = 0.000
- space-group type = No. 36

a = 10.5560 Å, b = 10.5560 Å, c = 5.7813 Å
α = 90.00°, β = 90.00°, γ = 119.21°
With the nearest neighbours (Å) after each atom.
Sites, in units of the cell vectors:
Sm1 0.2076 0.7924 0.5000  5 Sc 2.99-3.19, 2 Th 3.30
Sm2 0.7924 0.2076 0.0000  5 Sc 2.99-3.19, 2 Th 3.30
Th1 0.0610 0.2816 0.3629  6 Sc 3.13-3.41, 1 Sm 3.30
Th2 0.2816 0.0610 0.8629  6 Sc 3.13-3.41, 1 Sm 3.30
Th3 0.3963 0.6037 0.4213  5 Sc 3.21-3.43, 1 Sm 3.47, 2 Th 3.53
Th4 0.6037 0.3963 0.9213  5 Sc 3.21-3.43, 1 Sm 3.47, 2 Th 3.53
Th5 0.7184 0.9390 0.3629  6 Sc 3.13-3.41, 1 Sm 3.30
Th6 0.9390 0.7184 0.8629  6 Sc 3.13-3.41, 1 Sm 3.30
Sc1 0.0353 0.4646 0.7671  1 Sm 2.99, 5 Sc 2.99-3.31, 2 Th 3.13-3.34
Sc2 0.0425 0.9575 0.3132  1 Sm 3.19, 4 Sc 3.28-3.56, 4 Th 3.34-3.41
Sc3 0.2801 0.3803 0.8955  4 Sc 3.20-3.56, 4 Th 3.34-3.43
Sc4 0.2811 0.7189 0.0004  4 Sc 2.99-3.31, 2 Sm 3.18-3.19, 1 Th 3.21
Sc5 0.3803 0.2801 0.3955  4 Sc 3.20-3.56, 4 Th 3.34-3.43
Sc6 0.4646 0.0353 0.2671  1 Sm 2.99, 5 Sc 2.99-3.31, 2 Th 3.13-3.34
Sc7 0.5354 0.9647 0.7671  1 Sm 2.99, 5 Sc 2.99-3.31, 2 Th 3.13-3.34
Sc8 0.6197 0.7199 0.8955  4 Sc 3.20-3.56, 4 Th 3.34-3.43
Sc9 0.7189 0.2811 0.5004  4 Sc 2.99-3.31, 2 Sm 3.18-3.19, 1 Th 3.21
Sc10 0.7199 0.6197 0.3955  4 Sc 3.20-3.56, 4 Th 3.34-3.43
Sc11 0.9575 0.0425 0.8132  1 Sm 3.19, 4 Sc 3.28-3.56, 4 Th 3.34-3.41
Sc12 0.9647 0.5354 0.2671  1 Sm 2.99, 5 Sc 2.99-3.31, 2 Th 3.13-3.34

=====

Please write out number 1 again, unchanged.
# SmTh2Sc3

A relaxed structure of SmTh2Sc3 (PBE, Alexandria).

Values from the calculation:
- ΔH_f (0 K) (eV/atom) = 0.023
- spin magnetization (μB/f.u.) = 0.000
- space-group type = No. 123

a = 3.4994 Å, b = 3.4994 Å, c = 13.9841 Å
α = 90.00°, β = 90.00°, γ = 90.00°
With the nearest neighbours (Å) after each atom.
Sites, in units of the cell vectors:
Sm1 0.0000 0.0000 0.0000  8 Sc 3.45, 4 Sm 3.50
Th1 0.0000 0.0000 0.3342  8 Sc 3.36-3.39, 4 Th 3.50
Th2 0.0000 0.0000 0.6658  8 Sc 3.36-3.39, 4 Th 3.50
Sc1 0.5000 0.5000 0.1715  4 Th 3.36, 4 Sm 3.45, 4 Sc 3.50
Sc2 0.5000 0.5000 0.5000  8 Th 3.39, 4 Sc 3.50
Sc3 0.5000 0.5000 0.8285  4 Th 3.36, 4 Sm 3.45, 4 Sc 3.50